# K2Na2HgSb2

A relaxed structure of K2Na2HgSb2 (PBE, OQMD via LeMat-Bulk).

**DFT total energy**: -16.1 eV per cell

a = 10.641 Å, b = 10.641 Å, c = 10.641 Å
α = 30.74°, β = 30.74°, γ = 30.74°
Atoms (fractional coordinates):
K (0.206, 0.206, 0.206)
K (0.794, 0.794, 0.794)
Na (0.395, 0.395, 0.395)
Na (0.605, 0.605, 0.605)
Hg (0.000, 0.000, 0.000)
Sb (0.088, 0.088, 0.088)
Sb (0.912, 0.912, 0.912)



# K2Na2HgSb2

A relaxed structure of K2Na2HgSb2 (PBE, OQMD via LeMat-Bulk).

**DFT total energy**: -16.1 eV per cell

a = 9.934 Å, b = 9.934 Å, c = 9.934 Å
α = 33.74°, β = 33.74°, γ = 33.74°
Atoms (fractional coordinates):
K (0.110, 0.110, 0.110)
K (0.890, 0.890, 0.890)
Na (0.291, 0.291, 0.291)
Na (0.709, 0.709, 0.709)
Hg (0.500, 0.500, 0.500)
Sb (0.404, 0.404, 0.404)
Sb (0.596, 0.596, 0.596)



# KNbHg

A relaxed structure of KNbHg (PBE, OQMD via LeMat-Bulk).

**Polymorph energy (0 for the lowest one)**: 127.6 kJ/mol of formula units

a = 5.379 Å, b = 5.379 Å, c = 5.379 Å
α = 60.00°, β = 60.00°, γ = 60.00°
Atoms (fractional coordinates):
K (0.000, 0.000, 0.000)
Nb (0.250, 0.250, 0.250)
Hg (0.750, 0.750, 0.750)



# KNbHg

A relaxed structure of KNbHg (PBE, OQMD via LeMat-Bulk).

**Polymorph energy (0 for the lowest one)**: 0.0 kJ/mol of formula units

a = 5.225 Å, b = 5.225 Å, c = 5.225 Å
α = 60.00°, β = 60.00°, γ = 60.00°
Atoms (fractional coordinates):
K (0.000, 0.000, 0.000)
Nb (0.500, 0.500, 0.500)
Hg (0.250, 0.250, 0.250)



# KNdHg3O4

A relaxed structure of KNdHg3O4 (PBE, OQMD via LeMat-Bulk).

**DFT total energy**: -34.9 eV per cell

a = 5.984 Å, b = 5.984 Å, c = 5.984 Å
α = 90.00°, β = 90.00°, γ = 90.00°
Atoms (fractional coordinates):
K (0.000, 0.000, 0.000)
Nd (0.500, 0.500, 0.500)
Hg (0.000, 0.500, 0.500)
Hg (0.500, 0.000, 0.500)
Hg (0.500, 0.500, 0.000)
O (0.283, 0.283, 0.283)
O (0.283, 0.717, 0.717)
O (0.717, 0.283, 0.717)
O (0.717, 0.717, 0.283)



# KNdHgO3

A relaxed structure of KNdHgO3 (PBE, OQMD via LeMat-Bulk).

**DFT total energy**: -63.6 eV per cell

a = 6.956 Å, b = 6.956 Å, c = 9.196 Å
α = 90.00°, β = 90.00°, γ = 148.72°
Atoms (fractional coordinates):
K (0.175, 0.825, 0.750)
K (0.825, 0.175, 0.250)
Nd (0.500, 0.500, 0.000)
Nd (0.500, 0.500, 0.500)
Hg (0.115, 0.885, 0.250)
Hg (0.885, 0.115, 0.750)
O (0.115, 0.885, 0.028)
O (0.115, 0.885, 0.472)
O (0.467, 0.533, 0.250)
O (0.533, 0.467, 0.750)
O (0.885, 0.115, 0.528)
O (0.885, 0.115, 0.972)



# KNdHg3Se4

A relaxed structure of KNdHg3Se4 (PBE, OQMD via LeMat-Bulk).

**DFT total energy**: -26.7 eV per cell

a = 7.006 Å, b = 7.006 Å, c = 7.006 Å
α = 90.00°, β = 90.00°, γ = 90.00°
Atoms (fractional coordinates):
K (0.000, 0.000, 0.000)
Nd (0.500, 0.500, 0.500)
Hg (0.000, 0.500, 0.500)
Hg (0.500, 0.000, 0.500)
Hg (0.500, 0.500, 0.000)
Se (0.270, 0.270, 0.270)
Se (0.270, 0.730, 0.730)
Se (0.730, 0.270, 0.730)
Se (0.730, 0.730, 0.270)



# KNdHg3Te4

A relaxed structure of KNdHg3Te4 (PBE, OQMD via LeMat-Bulk).

**DFT total energy**: -23.9 eV per cell

a = 7.400 Å, b = 7.400 Å, c = 7.400 Å
α = 90.00°, β = 90.00°, γ = 90.00°
Atoms (fractional coordinates):
K (0.000, 0.000, 0.000)
Nd (0.500, 0.500, 0.500)
Hg (0.000, 0.500, 0.500)
Hg (0.500, 0.000, 0.500)
Hg (0.500, 0.500, 0.000)
Te (0.267, 0.267, 0.267)
Te (0.267, 0.733, 0.733)
Te (0.733, 0.267, 0.733)
Te (0.733, 0.733, 0.267)